CaCuP | PBE | relaxed

Structure (extended XYZ):
```
6
Lattice="4.0346 0.0000 0.0000 -2.0173 3.4940 0.0000 0.0000 0.0000 7.9350" Properties=species:S:1:pos:R:3 pbc="T T T"
Ca 0.0000 0.0000 0.0000
Ca 0.0000 0.0000 3.9675
Cu 0.0020 2.3328 1.9837
Cu 2.0153 1.1613 5.9512
P 0.0000 2.3294 5.9512
P 2.0173 1.1647 1.9837
```

Properties
Crystal system   hexagonal
Energy of formation from the pure elements   -0.86 eV/atom
Symmetry   P6_3/mmc
Magnetization   0.0 μB/f.u.

Ca2CuP | PBE | relaxed

Structure (extended XYZ):
```
8
Lattice="-3.0952 3.0952 7.2564 3.0952 -3.0952 7.2564 3.0952 3.0952 -7.2564" Properties=species:S:1:pos:R:3 pbc="T T T"
Ca 4.6427 1.3247 -1.8141
Ca 1.3247 1.5476 1.8141
Ca -1.5476 1.7704 5.4423
Ca 1.7704 1.5476 9.0705
Cu 3.0952 0.0000 3.6282
Cu 0.0000 0.0000 7.2564
P 0.0000 0.0000 0.0000
P 0.0000 3.0952 3.6282
```

Properties
Crystal system   tetragonal
Energy of formation from the pure elements   -0.15 eV/atom
Symmetry   I-42d
Magnetization   0.0 μB/f.u.

Ca2CuP2 | PBE | relaxed

Structure (extended XYZ):
```
5
Lattice="-2.8411 2.8411 3.7533 2.8411 -2.8411 3.7533 2.8411 2.8411 -3.7533" Properties=species:S:1:pos:R:3 pbc="T T T"
Ca 2.8411 0.0000 1.8766
Ca 0.0000 2.8411 1.8766
Cu 0.0000 0.0000 0.0000
P 0.0000 0.0000 2.2570
P 0.0000 0.0000 5.2495
```

Properties
Crystal system   tetragonal
Energy of formation from the pure elements   -0.48 eV/atom
Symmetry   I4/mmm
Magnetization   0.0 μB/f.u.

CaCuP | PBE | relaxed

Structure (extended XYZ):
```
6
Lattice="5.0371 0.0000 0.0000 -2.5186 4.3623 0.0000 0.0000 0.0000 11.2434" Properties=species:S:1:pos:R:3 pbc="T T T"
Ca 0.0000 0.0000 2.8108
Ca 0.0000 0.0000 8.4325
Cu 0.0000 2.9082 2.8108
Cu 2.5186 1.4541 8.4325
P 0.0000 0.0000 0.0000
P 0.0000 0.0000 5.6217
```

Properties
Crystal system   hexagonal
Energy of formation from the pure elements   1.01 eV/atom
Symmetry   P6_3/mmc
Magnetization   2.0 μB/f.u.

CaCuP | PBE | relaxed

Structure (extended XYZ):
```
6
Lattice="4.3056 0.0000 0.0000 -1.8136 3.9075 0.0000 -0.6635 -2.2930 7.2932" Properties=species:S:1:pos:R:3 pbc="T T T"
Ca 0.0000 0.0000 0.0000
Ca 0.1453 2.6580 2.6538
Cu 1.4546 -0.7718 5.7074
Cu 2.4452 1.3211 4.2534
P -0.6791 -0.4882 4.9634
P 2.2050 1.3003 1.3159
```

Properties
Crystal system   triclinic
Energy of formation from the pure elements   -0.64 eV/atom
Symmetry   P1
Magnetization   0.0 μB/f.u.

CaCu2P | PBE | relaxed

Structure (extended XYZ):
```
4
Lattice="3.9843 0.0000 0.0000 0.0000 3.9843 0.0000 0.0000 0.0000 4.1996" Properties=species:S:1:pos:R:3 pbc="T T T"
Ca 0.0000 0.0000 0.0000
Cu 0.0000 1.9921 2.0998
Cu 1.9921 0.0000 2.0998
P 1.9921 1.9921 0.0000
```

Properties
Crystal system   tetragonal
Energy of formation from the pure elements   -0.08 eV/atom
Symmetry   P4/mmm
Magnetization   0.0 μB/f.u.

Ca4Cu5P6 | PBE | relaxed

Structure (extended XYZ):
```
30
Lattice="2.0077 -8.8330 0.0000 2.0077 8.8330 0.0000 0.0000 0.0000 15.1986" Properties=species:S:1:pos:R:3 pbc="T T T"
Ca 2.0077 8.5117 9.4398
Ca 2.0077 8.5117 13.3582
Ca 2.0077 5.7190 1.0551
Ca 2.0077 5.7190 6.5442
Ca 2.0077 -5.7190 8.6544
Ca 2.0077 -5.7190 14.1435
Ca 2.0077 -8.5117 1.8404
Ca 2.0077 -8.5117 5.7589
Cu 2.0077 6.2439 11.3990
Cu 2.0077 3.5970 11.3990
Cu 2.0077 2.6008 1.7252
Cu 2.0077 2.6008 5.8741
Cu 2.0077 1.0494 11.3990
Cu 2.0077 -1.0494 3.7997
Cu 2.0077 -2.6008 9.3246
Cu 2.0077 -2.6008 13.4734
Cu 2.0077 -3.5970 3.7997
Cu 2.0077 -6.2439 3.7997
P 2.0077 6.6967 3.7997
P 2.0077 5.0154 9.4307
P 2.0077 5.0154 13.3672
P 2.0077 1.2509 3.7997
P 2.0077 1.1046 7.7389
P 2.0077 1.1046 15.0591
P 2.0077 -1.1046 0.1396
P 2.0077 -1.1046 7.4598
P 2.0077 -1.2509 11.3990
P 2.0077 -5.0154 1.8314
P 2.0077 -5.0154 5.7679
P 2.0077 -6.6967 11.3990
```

Properties
Crystal system   orthorhombic
Energy of formation from the pure elements   -0.67 eV/atom
Symmetry   Cmcm
Magnetization   0.0 μB/f.u.

CaCuP | PBE | relaxed

Structure (extended XYZ):
```
6
Lattice="4.0606 0.0000 0.0000 0.0000 5.7391 0.0000 -0.9795 0.0000 5.0371" Properties=species:S:1:pos:R:3 pbc="T T T"
Ca 0.3971 0.0000 1.8994
Ca 2.6841 2.8695 3.1377
Cu 0.5038 1.2160 4.6729
Cu 2.5774 4.0855 0.3642
P 0.6857 2.9623 0.9994
P 2.3955 0.0927 4.0377
```

Properties
Crystal system   monoclinic
Energy of formation from the pure elements   -0.65 eV/atom
Symmetry   P2_1
Magnetization   0.0 μB/f.u.